Compound: SnHPd3
Source: Alexandria
Functional: PBE-GGA
Structure: optimized geometry

- Energy above the most stable polymorph in this dataset: 0.019 eV/atom

a = 5.756 Å, b = 5.756 Å, c = 4.790 Å
α = 90.00°, β = 90.00°, γ = 120.00°
Element x y z (fractional)
Sn 0.333 0.667 0.000
Sn 0.667 0.333 0.500
H 0.000 0.000 0.167
H 0.000 0.000 0.667
Pd 0.170 0.340 0.504
Pd 0.170 0.830 0.504
Pd 0.340 0.170 0.004
Pd 0.660 0.830 0.504
Pd 0.830 0.170 0.004
Pd 0.830 0.660 0.004